# 1
This record from Alexandria via LeMat-Bulk describes crystalline TcRuRh2 at its relaxed geometry. The functional is GGA-PBEsol.

Summary:
Total magnetic moment in μB per cell: 0.00
ΔE to the lowest computed polymorph in meV per atom: 9
ρ in g/cm3: 12.48
Formation enthalpy at 0 K in eV per atom: -0.02
DOS at the Fermi energy in states/eV/f.u.: 3.98

abc: 2.656 4.653 4.653
angles: 110.46 90.00 90.00
Positions (direct):
Tc1 0.500 0.500 0.500
Rh1 0.000 0.000 0.500
Ru1 0.500 0.000 0.000
Rh2 0.000 0.500 0.000


# 2
This record from Alexandria via LeMat-Bulk describes crystalline Ce3TaO7 at its relaxed geometry. The functional is GGA-PBEsol.

Summary:
Formation energy without anion corrections in meV/atom: -3249
Total magnetic moment in μB per cell: 5.30
ρ in g/cm3: 7.81
DOS at the Fermi energy in states/eV/f.u.: 16.55

abc: 6.541 6.541 7.635
angles: 90.00 90.00 111.78
Positions (direct):
O1 0.842 0.101 0.250
Ce1 0.528 0.076 0.750
O2 0.433 0.177 0.038
O3 0.899 0.158 0.750
Ta1 0.500 0.500 0.000
Ce2 0.000 0.000 0.500
Ce3 0.076 0.528 0.750
O4 0.177 0.433 0.462
O5 0.567 0.823 0.538
Ce4 0.472 0.924 0.250
O6 0.101 0.842 0.250
Ce5 0.000 0.000 0.000
O7 0.428 0.428 0.750
O8 0.177 0.433 0.038
O9 0.572 0.572 0.250
Ce6 0.924 0.472 0.250
O10 0.823 0.567 0.538
O11 0.433 0.177 0.462
O12 0.823 0.567 0.962
Ta2 0.500 0.500 0.500
O13 0.567 0.823 0.962
O14 0.158 0.899 0.750


# 3
This record from Alexandria via LeMat-Bulk describes crystalline Ta8NiC4S8 at its relaxed geometry. The functional is GGA-PBEsol.

Summary:
Formation energy without anion corrections in meV/atom: -946
Total magnetic moment in μB per cell: 0.65
ρ in g/cm3: 9.77
DOS at the Fermi energy in states/eV/f.u.: 8.19

abc: 6.523 6.523 9.166
angles: 69.16 69.16 60.00
Positions (direct):
S1 0.777 0.777 0.164
Ta1 0.119 0.621 0.639
S2 0.718 0.223 0.836
Ta2 0.379 0.881 0.361
S3 0.223 0.223 0.836
S4 0.278 0.278 0.167
Ta3 0.120 0.120 0.639
Ta4 0.621 0.119 0.639
C1 0.500 0.000 0.500
C2 0.000 0.500 0.500
S5 0.777 0.282 0.164
S6 0.282 0.777 0.164
Ni1 0.000 0.000 0.000
C3 0.500 0.500 0.500
Ta5 0.881 0.379 0.361
Ta6 0.621 0.621 0.639
C4 0.000 0.000 0.500
S7 0.223 0.718 0.836
Ta7 0.379 0.379 0.361
Ta8 0.880 0.880 0.361
S8 0.722 0.722 0.833


# 4
This record from Alexandria via LeMat-Bulk describes crystalline Na2ReW at its relaxed geometry. The functional is GGA-PBEsol.

Summary:
Total magnetic moment in μB per cell: 0.02
ρ in g/cm3: 9.87
Formation enthalpy at 0 K in eV per atom: 2.30
DOS at the Fermi energy in states/eV/f.u.: 3.14

abc: 4.626 4.626 4.626
angles: 60.00 60.00 60.00
Positions (direct):
Re1 0.500 0.500 0.500
W1 0.000 0.000 0.000
Na1 0.750 0.750 0.750
Na2 0.250 0.250 0.250


# 5
This record from Alexandria via LeMat-Bulk describes crystalline CaGe2O5 at its relaxed geometry. The functional is GGA-PBEsol.

Summary:
Formation energy without anion corrections in meV/atom: -2137
Total magnetic moment in μB per cell: 0.00
ΔE to the lowest computed polymorph in meV per atom: 14
ρ in g/cm3: 4.82
DOS at the Fermi energy in states/eV/f.u.: 0.00

abc: 5.489 5.489 6.892
angles: 103.66 103.66 106.60
Positions (direct):
O1 0.691 0.095 0.399
O2 0.071 0.929 0.250
Ge1 0.315 0.685 0.750
O3 0.309 0.905 0.601
O4 0.095 0.691 0.899
Ge2 0.685 0.315 0.250
O5 0.905 0.309 0.101
O6 0.929 0.071 0.750
O7 0.248 0.367 0.571
O8 0.367 0.248 0.071
Ge3 0.000 0.000 0.000
O9 0.752 0.633 0.429
Ge4 0.000 0.000 0.500
O10 0.633 0.752 0.929
Ca1 0.670 0.330 0.750
Ca2 0.330 0.670 0.250


# 6
This record from Alexandria via LeMat-Bulk describes crystalline CaTa2Hg at its relaxed geometry. The functional is GGA-PBEsol.

Summary:
Total magnetic moment in μB per cell: 0.00
ρ in g/cm3: 12.43
Formation enthalpy at 0 K in eV per atom: 0.49
DOS at the Fermi energy in states/eV/f.u.: 4.15

abc: 4.065 4.065 5.657
angles: 111.06 111.06 90.00
Positions (direct):
Ca1 0.500 0.500 0.000
Ta1 0.250 0.750 0.500
Hg1 0.000 0.000 0.000
Ta2 0.750 0.250 0.500


# 7
This record from Alexandria via LeMat-Bulk describes crystalline LaMnTe2 at its relaxed geometry. The functional is GGA-PBEsol.

Summary:
Formation energy without anion corrections in meV/atom: -620
Total magnetic moment in μB per cell: 4.11
ΔE to the lowest computed polymorph in meV per atom: 64
ρ in g/cm3: 6.71
DOS at the Fermi energy in states/eV/f.u.: 2.67

abc: 3.914 4.142 7.427
angles: 106.19 105.28 90.00
Positions (direct):
Te1 0.724 0.224 0.447
Mn1 0.281 0.781 0.561
La1 0.551 0.551 0.103
Te2 0.945 0.945 0.889


# 8
This record from Alexandria via LeMat-Bulk describes crystalline Cr7Se8 at its relaxed geometry. The functional is GGA-PBEsol.

Summary:
Formation energy without anion corrections in meV/atom: -342
Total magnetic moment in μB per cell: 21.72
ρ in g/cm3: 6.30
DOS at the Fermi energy in states/eV/f.u.: 9.56

abc: 6.780 6.780 7.276
angles: 105.21 106.20 114.77
Positions (direct):
Cr1 0.500 0.500 0.000
Cr2 0.000 0.000 0.500
Se1 0.719 0.951 0.670
Se2 0.298 0.044 0.832
Se3 0.797 0.536 0.333
Cr3 0.247 0.764 0.010
Cr4 0.500 0.500 0.500
Se4 0.702 0.956 0.168
Se5 0.281 0.049 0.330
Se6 0.211 0.465 0.168
Cr5 0.728 0.228 0.500
Cr6 0.753 0.236 0.990
Cr7 0.272 0.772 0.500
Se7 0.789 0.535 0.832
Se8 0.203 0.464 0.667


# 9
This record from Alexandria via LeMat-Bulk describes crystalline LaTaCo2 at its relaxed geometry. The functional is GGA-PBEsol.

Summary:
Total magnetic moment in μB per cell: 0.00
ΔE to the lowest computed polymorph in meV per atom: 264
ρ in g/cm3: 11.19
Formation enthalpy at 0 K in eV per atom: 0.43
DOS at the Fermi energy in states/eV/f.u.: 3.21

abc: 3.719 3.719 5.383
angles: 110.21 110.21 90.00
Positions (direct):
La1 0.500 0.500 0.000
Ta1 0.250 0.750 0.500
Co1 0.000 0.000 0.000
Co2 0.750 0.250 0.500


# 10
This record from Alexandria via LeMat-Bulk describes crystalline TaRu2 at its relaxed geometry. The functional is GGA-PBEsol.

Summary:
Total magnetic moment in μB per cell: 0.00
ρ in g/cm3: 14.42
Formation enthalpy at 0 K in eV per atom: -0.23
DOS at the Fermi energy in states/eV/f.u.: 2.90

abc: 3.838 3.838 12.287
angles: 98.98 98.98 90.00
Positions (direct):
Ta1 0.077 0.077 0.154
Ru1 0.001 0.501 0.001
Ru2 0.499 0.999 0.999
Ta2 0.327 0.827 0.654
Ru3 0.249 0.249 0.499
Ta3 0.923 0.923 0.846
Ru4 0.418 0.418 0.836
Ru5 0.668 0.168 0.336
Ru6 0.582 0.582 0.164
Ru7 0.832 0.332 0.664
Ru8 0.751 0.751 0.501
Ta4 0.173 0.673 0.346


# 11
This record from Alexandria via LeMat-Bulk describes crystalline RbAs3C at its relaxed geometry. The functional is GGA-PBEsol.

Summary:
Total magnetic moment in μB per cell: 0.00
ρ in g/cm3: 5.42
Formation enthalpy at 0 K in eV per atom: 0.98
DOS at the Fermi energy in states/eV/f.u.: 2.86

abc: 4.621 4.621 4.621
angles: 90.00 90.00 90.00
Positions (direct):
Rb1 0.500 0.500 0.500
As1 0.500 0.000 0.000
As2 0.000 0.000 0.500
As3 0.000 0.500 0.000
C1 0.000 0.000 0.000


# 12
This record from Alexandria via LeMat-Bulk describes crystalline Al7Ag2 at its relaxed geometry. The functional is GGA-PBEsol.

Summary:
Total magnetic moment in μB per cell: 0.00
ρ in g/cm3: 4.61
Formation enthalpy at 0 K in eV per atom: -0.03
DOS at the Fermi energy in states/eV/f.u.: 3.28

abc: 4.927 4.927 6.938
angles: 90.00 90.00 120.00
Positions (direct):
Al1 0.666 0.000 0.334
Ag1 0.333 0.667 0.000
Al2 0.000 0.666 0.334
Ag2 0.667 0.333 0.000
Al3 0.000 0.334 0.666
Al4 0.334 0.000 0.666
Al5 0.334 0.334 0.334
Al6 0.000 0.000 0.000
Al7 0.666 0.666 0.666


# 13
This record from Alexandria via LeMat-Bulk describes crystalline CaNiW2 at its relaxed geometry. The functional is GGA-PBEsol.

Summary:
Total magnetic moment in μB per cell: 0.00
ΔE to the lowest computed polymorph in meV per atom: 290
ρ in g/cm3: 11.94
Formation enthalpy at 0 K in eV per atom: 0.76
DOS at the Fermi energy in states/eV/f.u.: 4.60

abc: 2.796 2.796 9.717
angles: 81.73 81.73 60.00
Positions (direct):
W1 0.261 0.261 0.216
Ni1 0.000 0.000 0.000
W2 0.739 0.739 0.784
Ca1 0.500 0.500 0.500


# 14
This record from Alexandria via LeMat-Bulk describes crystalline MgBP2O at its relaxed geometry. The functional is GGA-PBEsol.

Summary:
Formation energy without anion corrections in meV/atom: -148
Total magnetic moment in μB per cell: 0.00
ΔE to the lowest computed polymorph in meV per atom: 0
ρ in g/cm3: 2.79
DOS at the Fermi energy in states/eV/f.u.: 3.79

abc: 5.004 5.004 2.686
angles: 90.00 90.00 90.00
Positions (direct):
P1 0.500 0.000 0.000
O1 0.000 0.000 0.500
B1 0.000 0.000 0.000
Mg1 0.500 0.500 0.500
P2 0.000 0.500 0.000


# 15
This record from Alexandria via LeMat-Bulk describes crystalline Li2Cu at its relaxed geometry. The functional is GGA-PBEsol.

Summary:
Total magnetic moment in μB per cell: 0.00
ρ in g/cm3: 3.12
Formation enthalpy at 0 K in eV per atom: 0.05
DOS at the Fermi energy in states/eV/f.u.: 1.15

abc: 2.643 5.141 6.541
angles: 105.91 90.00 104.90
Positions (direct):
Li1 0.384 0.767 0.269
Cu1 0.000 0.001 0.018
Li2 0.344 0.688 0.676
Cu2 0.660 0.320 0.320
Li3 0.070 0.140 0.594
Li4 0.709 0.418 0.956


# 16
This record from Alexandria via LeMat-Bulk describes crystalline CoPdBr2 at its relaxed geometry. The functional is GGA-PBEsol.

Summary:
Formation energy without anion corrections in meV/atom: 429
Total magnetic moment in μB per cell: 2.56
ρ in g/cm3: 6.04
DOS at the Fermi energy in states/eV/f.u.: 6.82

abc: 3.683 3.683 7.902
angles: 76.53 76.53 60.00
Positions (direct):
Pd1 0.500 0.500 0.500
Br1 0.097 0.097 0.708
Co1 0.000 0.000 0.000
Br2 0.903 0.903 0.292


# 17
This record from Alexandria via LeMat-Bulk describes crystalline Sc2CuSe at its relaxed geometry. The functional is GGA-PBEsol.

Summary:
Formation energy without anion corrections in meV/atom: -616
Total magnetic moment in μB per cell: 0.00
ρ in g/cm3: 5.43
DOS at the Fermi energy in states/eV/f.u.: 4.04

abc: 3.975 4.790 4.858
angles: 119.53 114.15 90.00
Positions (direct):
Sc1 0.255 0.255 0.511
Sc2 0.745 0.745 0.489
Se1 0.000 0.500 0.000
Cu1 0.500 0.000 0.000


# 18
This record from Alexandria via LeMat-Bulk describes crystalline LiCoPO4 at its relaxed geometry. The functional is GGA-PBEsol.

Summary:
Formation energy without anion corrections in meV/atom: -1798
Total magnetic moment in μB per cell: 18.00
ΔE to the lowest computed polymorph in meV per atom: 54
ρ in g/cm3: 3.55

abc: 7.347 7.347 9.663
angles: 90.00 90.00 120.00
Positions (direct):
O1 0.118 0.496 0.674
O2 0.667 0.333 0.659
Li1 0.935 0.525 0.512
P1 0.000 0.000 0.495
Li2 0.065 0.590 0.012
O3 0.504 0.621 0.674
O4 0.770 0.898 0.045
O5 0.127 0.230 0.045
Co1 0.273 0.059 0.733
P2 0.333 0.667 0.733
P3 0.000 0.000 0.995
Li3 0.525 0.935 0.012
O6 0.496 0.118 0.174
Co2 0.941 0.214 0.733
O7 0.898 0.770 0.545
O8 0.873 0.102 0.545
Li4 0.590 0.065 0.512
O9 0.559 0.820 0.373
O10 0.230 0.127 0.545
P4 0.667 0.333 0.233
O11 0.000 0.000 0.329
O12 0.333 0.667 0.891
O13 0.882 0.379 0.174
Co3 0.059 0.273 0.233
P5 0.667 0.333 0.819
P6 0.333 0.667 0.319
O14 0.667 0.333 0.391
O15 0.180 0.738 0.373
O16 0.262 0.441 0.373
Co4 0.786 0.727 0.733
Co5 0.214 0.941 0.233
O17 0.441 0.262 0.873
O18 0.820 0.559 0.873
Li5 0.410 0.475 0.012
O19 0.000 0.000 0.829
O20 0.379 0.882 0.674
Co6 0.727 0.786 0.233
O21 0.102 0.873 0.045
O22 0.333 0.667 0.159
Li6 0.475 0.410 0.512
O23 0.738 0.180 0.873
O24 0.621 0.504 0.174


# 19
This record from Alexandria via LeMat-Bulk describes crystalline Sr at its relaxed geometry. The functional is GGA-PBEsol.

Summary:
Total magnetic moment in μB per cell: 0.00
ΔE to the lowest computed polymorph in meV per atom: 0
ρ in g/cm3: 2.82
Formation enthalpy at 0 K in eV per atom: 0.00
DOS at the Fermi energy in states/eV/f.u.: 1.01

abc: 4.179 4.179 4.179
angles: 60.00 60.00 60.00
Positions (direct):
Sr1 0.500 0.500 0.500


# 20
This record from Alexandria via LeMat-Bulk describes crystalline Mg2MnSi at its relaxed geometry. The functional is GGA-PBEsol.

Summary:
Formation energy without anion corrections in meV/atom: 86
Total magnetic moment in μB per cell: 3.35
ρ in g/cm3: 3.42
DOS at the Fermi energy in states/eV/f.u.: 2.01

abc: 3.964 3.964 4.067
angles: 90.00 90.00 90.00
Positions (direct):
Mg1 0.500 0.000 0.000
Mn1 0.500 0.500 0.500
Mg2 0.000 0.500 0.000
Si1 0.000 0.000 0.500


# 21
This record from Alexandria via LeMat-Bulk describes crystalline LaZr3Cr at its relaxed geometry. The functional is GGA-PBEsol.

Summary:
Total magnetic moment in μB per cell: 3.56
ρ in g/cm3: 6.02
Formation enthalpy at 0 K in eV per atom: 1.53
DOS at the Fermi energy in states/eV/f.u.: 7.48

abc: 5.043 5.043 5.043
angles: 90.00 90.00 90.00
Positions (direct):
Zr1 0.000 0.500 0.000
Cr1 0.500 0.500 0.500
La1 0.000 0.000 0.000
Zr2 0.500 0.000 0.000
Zr3 0.000 0.000 0.500


# 22
This record from Alexandria via LeMat-Bulk describes crystalline Hg2OsW at its relaxed geometry. The functional is GGA-PBEsol.

Summary:
Total magnetic moment in μB per cell: 0.00
ΔE to the lowest computed polymorph in meV per atom: 0
ρ in g/cm3: 18.01
Formation enthalpy at 0 K in eV per atom: 0.54
DOS at the Fermi energy in states/eV/f.u.: 2.54

abc: 2.832 2.832 10.037
angles: 90.00 90.00 117.36
Positions (direct):
Hg1 0.000 0.000 0.015
W1 0.500 0.500 0.272
Hg2 0.500 0.500 0.734
Os1 0.000 0.000 0.479


# 23
This record from Alexandria via LeMat-Bulk describes crystalline K2InRh at its relaxed geometry. The functional is GGA-PBEsol.

Summary:
Total magnetic moment in μB per cell: 0.00
ρ in g/cm3: 5.06
Formation enthalpy at 0 K in eV per atom: 0.40
DOS at the Fermi energy in states/eV/f.u.: 2.09

abc: 5.158 5.158 5.158
angles: 60.00 60.00 60.00
Positions (direct):
In1 0.500 0.500 0.500
K1 0.000 0.000 0.000
Rh1 0.250 0.250 0.250
K2 0.750 0.750 0.750


# 24
This record from Alexandria via LeMat-Bulk describes crystalline Be2CdBr at its relaxed geometry. The functional is GGA-PBEsol.

Summary:
Formation energy without anion corrections in meV/atom: 629
Total magnetic moment in μB per cell: 0.00
ΔE to the lowest computed polymorph in meV per atom: 358
ρ in g/cm3: 4.96
DOS at the Fermi energy in states/eV/f.u.: 1.18

abc: 3.104 5.112 5.112
angles: 69.18 72.33 72.33
Positions (direct):
Be1 0.740 0.260 0.260
Be2 0.260 0.740 0.740
Cd1 0.500 0.000 0.000
Br1 0.000 0.500 0.500